Record 1
## BaNbP2Cl (PBE)

Data for a relaxed BaNbP2Cl crystal.

Cell: 4.8967 4.8967 5.1374 Å, 90.00 90.00 90.00°
Element x y z (fractional)
Cl 0.0000 0.0000 0.5000
P 0.5000 0.0000 0.0000
Ba 0.5000 0.5000 0.5000
P 0.0000 0.5000 0.0000
Nb 0.0000 0.0000 0.0000

The energy above the lowest structure with this stoichiometry is 0.000 eV per atom. The value obtained for the formation energy from raw total energies is -0.879 eV/atom. Its density of states at the Fermi level is 0.408 states/eV per atom.

***

Record 2
## LiSb2IBr (PBE)

Data for a relaxed LiSb2IBr crystal.

Cell: 5.2235 5.2235 5.1893 Å, 90.00 90.00 90.00°
Element x y z (fractional)
Sb 0.0000 0.5000 0.0000
I 0.0000 0.0000 0.5000
Br 0.5000 0.5000 0.5000
Li 0.0000 0.0000 0.0000
Sb 0.5000 0.0000 0.0000

The energy above the lowest structure with this stoichiometry is 0.000 eV per atom. The value obtained for the formation energy from raw total energies is 0.188 eV/atom. Its density of states at the Fermi level is 0.625 states/eV per atom.

***

Record 3
## Zr2HgSb (PBE)

Data for a relaxed Zr2HgSb crystal.

Cell: 3.1950 3.1950 9.5261 Å, 90.00 90.00 90.00°
Element x y z (fractional)
Sb 0.5000 0.5000 0.7717
Zr 0.0000 0.0000 0.0093
Zr 0.5000 0.5000 0.2436
Hg 0.0000 0.0000 0.4754

The energy above the lowest structure with this stoichiometry is 0.228 eV per atom. The value obtained for the formation energy from raw total energies is -0.125 eV/atom. Its density of states at the Fermi level is 0.739 states/eV per atom.

***

Record 4
## PmTmGaGe (PBE)

Data for a relaxed PmTmGaGe crystal.

Cell: 5.0928 5.0928 5.0928 Å, 60.00 60.00 60.00°
Element x y z (fractional)
Ga 0.7500 0.7500 0.7500
Pm 0.0000 0.0000 0.0000
Tm 0.5000 0.5000 0.5000
Ge 0.2500 0.2500 0.2500

The energy above the lowest structure with this stoichiometry is 0.202 eV per atom. Its density of states at the Fermi level is 0.595 states/eV per atom.